No. 1
# PBE DyIn2Se4, optimized geometry
data_DyIn2Se4
_cell_length_a 6.1094
_cell_length_b 6.1094
_cell_length_c 6.3467
_cell_angle_alpha 90.00
_cell_angle_beta 90.00
_cell_angle_gamma 90.00
_space_group_name_H-M_alt 'P -4 2 m'
_space_group_IT_number 111
_space_group_name_Hall 'P -4 2'
loop_
_atom_site_label
_atom_site_fract_x
_atom_site_fract_y
_atom_site_fract_z
Dy1 0.0000 0.0000 0.0000
In1 0.0000 0.5000 0.5000
Se1 0.2645 0.2645 0.2429
# Total magnetic moment ... 0.00 μB/cell
# ΔE_f (raw) ... -0.802 eV/atom
# Density ... 4.96 g/cm3



No. 2
# PBE Dy3InSe, optimized geometry
data_Dy3InSe
_cell_length_a 9.0908
_cell_length_b 3.9953
_cell_length_c 15.1740
_cell_angle_alpha 90.00
_cell_angle_beta 90.00
_cell_angle_gamma 90.00
_space_group_name_H-M_alt 'P n m a'
_space_group_IT_number 62
_space_group_name_Hall '-P 2ac 2n'
loop_
_atom_site_label
_atom_site_fract_x
_atom_site_fract_y
_atom_site_fract_z
Dy1 0.0375 0.2500 0.1165
Dy2 0.1591 0.2500 0.5174
Dy3 0.2087 0.7500 0.2795
In1 0.0639 0.7500 0.6737
Se1 0.1604 0.2500 0.9448
# Total magnetic moment ... 2.33 μB/cell
# ΔE_f (raw) ... -0.891 eV/atom
# Density ... 8.21 g/cm3



- The lowest ΔE_f (raw) belongs to which entry?
  Dy3InSe



- Which value of ΔE_f (raw) does entry 2 give?
  -0.891 eV/atom